Record 1
PBE CuSb2Pb, relaxed; ΔE_f (raw) = 0.07 eV/atom
1.0
4.1581 0.0000 0.0000
-1.9989 6.3401 0.0000
-0.0615 -2.9553 7.7073
Cu Sb Pb
2 4 2
direct
0.2386 0.4808 0.3894
0.7614 0.5192 0.6106
0.1329 0.2530 0.6088
0.1736 0.3419 0.0313
0.8264 0.6581 0.9687
0.8671 0.7470 0.3912
0.4447 0.8924 0.7523
0.5553 0.1076 0.2477



Record 2
PBE Cu2SbPb, relaxed; ΔE_f (raw) = 0.18 eV/atom
1.0
-1.7422 2.0121 6.3145
1.7422 -2.0121 6.3145
1.7422 2.0121 -6.3145
Cu Sb Pb
2 1 1
direct
0.0000 0.0000 0.0000
0.6184 0.1184 0.5000
0.4481 0.4481 0.0000
0.2106 0.7106 0.5000



Record 3
PBE CuSbPb2, relaxed; ΔE_f (raw) = 0.15 eV/atom
1.0
3.3474 0.0000 0.0000
0.0000 3.3474 0.0000
0.0000 0.0000 9.2443
Cu Sb Pb
1 1 2
direct
0.0000 0.0000 0.0000
0.5000 0.5000 0.8307
0.0000 0.0000 0.5235
0.5000 0.5000 0.2188



Record 4
PBE CuSb2Pb, relaxed; ΔE_f (raw) = 0.10 eV/atom
1.0
4.2670 0.0000 0.0000
-0.0070 4.6493 0.0000
-2.1164 -2.0535 5.4297
Cu Sb Pb
1 2 1
direct
0.0000 0.0000 0.0000
0.1054 0.5931 0.2263
0.3794 0.7175 0.7589
0.7589 0.1185 0.5252



Record 5
PBE CuSb2Pb, relaxed; ΔE_f (raw) = 0.17 eV/atom
1.0
5.0291 -1.9876 0.0000
5.0291 1.9876 0.0000
-2.6160 0.0000 5.1991
Cu Sb Pb
1 2 1
direct
0.0000 0.0000 0.0000
0.3026 0.3026 0.8312
0.6974 0.6974 0.1688
0.5000 0.5000 0.5000



Record 6
PBE CuSbPb2, relaxed; ΔE_f (raw) = 0.20 eV/atom
1.0
2.3595 -2.3654 0.0000
2.3595 2.3654 0.0000
0.0000 0.0000 9.2342
Cu Sb Pb
1 1 2
direct
0.0000 0.0000 0.0000
0.0000 0.0000 0.5000
0.5000 0.5000 0.2013
0.5000 0.5000 0.7987



Record 7
PBE CuSb2Pb, relaxed; ΔE_f (raw) = 0.16 eV/atom
1.0
-1.6777 2.8021 5.3081
1.6777 -2.8021 5.3081
1.6777 2.8021 -5.3081
Cu Sb Pb
1 2 1
direct
0.0000 0.0000 0.0000
0.1963 0.6963 0.5000
0.8037 0.3037 0.5000
0.5000 0.5000 0.0000



Record 8
PBE CuSb2Pb, relaxed; ΔE_f (raw) = 0.10 eV/atom
1.0
5.5040 0.0000 0.0000
-1.5461 6.3121 0.0000
-2.5317 -0.6460 6.1341
Cu Sb Pb
2 4 2
direct
0.0000 0.0000 0.0000
0.1812 0.1366 0.7115
0.1771 0.8861 0.3935
0.3783 0.4310 0.0458
0.4894 0.9051 0.0090
0.7338 0.8122 0.5908
0.7157 0.3232 0.7149
0.9862 0.3619 0.3122



Record 9
PBE CuSbPb2, relaxed; ΔE_f (raw) = 0.13 eV/atom
1.0
-1.7806 2.0636 7.4010
1.7806 -2.0636 7.4010
1.7806 2.0636 -7.4010
Cu Sb Pb
1 1 2
direct
0.0000 0.0000 0.0000
0.5000 0.5000 0.0000
0.1719 0.6719 0.5000
0.8281 0.3281 0.5000



Record 10
PBE CuSbPb2, relaxed; ΔE_f (raw) = 0.22 eV/atom
1.0
1.7848 1.0305 9.4733
-1.7848 1.0305 9.4733
0.0000 -2.0610 9.4733
Cu Sb Pb
1 1 2
direct
0.0000 0.0000 0.0000
0.5000 0.5000 0.5000
0.2637 0.2637 0.2637
0.7363 0.7363 0.7363



Record 11
PBE CuSbPb3, relaxed; ΔE_f (raw) = 0.24 eV/atom; ΔE to the lowest computed polymorph = 0 kJ/mol of formula units
1.0
5.2853 0.0000 0.0000
0.0000 5.2853 0.0000
0.0000 0.0000 5.2853
Cu Sb Pb
1 1 3
direct
0.0000 0.0000 0.0000
0.5000 0.5000 0.5000
0.0000 0.0000 0.5000
0.0000 0.5000 0.0000
0.5000 0.0000 0.0000



Record 12
PBE CuSb2Pb, relaxed; ΔE_f (raw) = 0.21 eV/atom
1.0
3.2421 0.0000 0.0000
0.0000 3.2421 0.0000
0.0000 0.0000 9.4725
Cu Sb Pb
1 2 1
direct
0.0000 0.0000 0.0000
0.0000 0.0000 0.5175
0.5000 0.5000 0.8287
0.5000 0.5000 0.2196



no.,electronic total energy (eV per atom)
1,-3.94
2,-3.83
3,-3.76
4,-3.92
5,-3.84
6,-3.71
7,-3.85
8,-3.91
9,-3.78
10,-3.69
11,-3.63
12,-3.81